Record 1
This record from the Alexandria database describes a geometry-optimized VFeOsRh structure. The functional is PBE-GGA.

Energy relative to the elements: -0.330 eV/f.u.
ρ: 12.22 Mg/m³

Unit cell a=4.252 b=4.252 c=4.252 alpha=60.00 beta=60.00 gamma=60.00
Sites, in units of the cell vectors:
Os: 0.500 0.500 0.500
Fe: 0.250 0.250 0.250
V: 0.750 0.750 0.750
Rh: 0.000 0.000 0.000

***

Record 2
This record from the Alexandria database describes a geometry-optimized ZrFe2OsRh structure. The functional is PBE-GGA.

Energy relative to the elements: 5.712 eV/f.u.
ρ: 8.37 Mg/m³

Unit cell a=4.444 b=4.985 c=4.444 alpha=90.00 beta=90.00 gamma=90.00
Sites, in units of the cell vectors:
Rh: 0.500 0.500 0.500
Fe: 0.000 0.000 0.500
Fe: 0.500 0.000 0.000
Os: 0.000 0.000 0.000
Zr: 0.000 0.500 0.000

***

Record 3
This record from the Alexandria database describes a geometry-optimized FeOs2Ru structure. The functional is PBE-GGA.

Energy relative to the elements: 0.628 eV/f.u.
ρ: 16.26 Mg/m³
Offset from the most stable computed form: 22 meV per atom

Unit cell a=8.801 b=8.801 c=8.801 alpha=17.68 beta=17.68 gamma=17.68
Sites, in units of the cell vectors:
Ru: 0.250 0.250 0.250
Fe: 0.750 0.750 0.750
Os: 0.001 0.001 0.001
Os: 0.499 0.499 0.499

***

Record 4
This record from the Alexandria database describes a geometry-optimized FeOs2Ru structure. The functional is PBE-GGA.

Energy relative to the elements: 0.584 eV/f.u.
ρ: 16.40 Mg/m³
Offset from the most stable computed form: 11 meV per atom

Unit cell a=4.640 b=4.640 c=4.619 alpha=80.56 beta=80.56 gamma=33.74
Sites, in units of the cell vectors:
Fe: 0.251 0.251 0.251
Os: 0.000 0.000 0.002
Os: 0.750 0.750 0.753
Ru: 0.499 0.499 0.494